No. 1
! CuRuSeBr2 (PBE-GGA, relaxed); values from VASP
! Density (g/cm³): 5.2
! Space group: P4/mmm, No. 123
! Energy relative to the lowest polymorph listed for this composition (eV per atom): 0.000
! Calculated total energy (eV/atom): -3.552
&SYSTEM
  ibrav = 0, nat = 5, ntyp = 4
/
ATOMIC_SPECIES
Cu 63.55 Cu.upf
Ru 101.07 Ru.upf
Se 78.96 Se.upf
Br 79.90 Br.upf
ATOMIC_POSITIONS crystal
Cu 0.000 0.000 0.000
Ru 0.500 0.500 0.500
Se 0.500 0.500 0.000
Br 0.000 0.500 0.500
Br 0.500 0.000 0.500
CELL_PARAMETERS angstrom
5.270 0.000 0.000
0.000 5.270 0.000
0.000 0.000 4.598


No. 2
! Sm6CuRu2Br3 (PBE-GGA, relaxed); values from VASP
! Density (g/cm³): 7.0
! Space group: C2/m, No. 12
! Calculated total energy (eV/atom): -5.460
&SYSTEM
  ibrav = 0, nat = 12, ntyp = 4
/
ATOMIC_SPECIES
Sm 150.36 Sm.upf
Cu 63.55 Cu.upf
Ru 101.07 Ru.upf
Br 79.90 Br.upf
ATOMIC_POSITIONS crystal
Sm 0.087 0.434 0.803
Sm 0.219 0.219 0.197
Sm 0.434 0.087 0.803
Sm 0.566 0.913 0.197
Sm 0.781 0.781 0.803
Sm 0.913 0.566 0.197
Cu 0.500 0.500 0.000
Ru 0.167 0.833 0.000
Ru 0.833 0.167 0.000
Br 0.000 0.000 0.500
Br 0.332 0.668 0.500
Br 0.668 0.332 0.500
CELL_PARAMETERS angstrom
3.517 -6.091 0.000
3.517 6.091 0.000
-2.346 0.000 7.803


No. 3
! TaCu2RuBr (PBE-GGA, relaxed); values from VASP
! Density (g/cm³): 7.1
! Space group: P4/mmm, No. 123
! Calculated total energy (eV/atom): -4.515
&SYSTEM
  ibrav = 0, nat = 5, ntyp = 4
/
ATOMIC_SPECIES
Ta 180.95 Ta.upf
Cu 63.55 Cu.upf
Ru 101.07 Ru.upf
Br 79.90 Br.upf
ATOMIC_POSITIONS crystal
Ta 0.000 0.000 0.000
Cu 0.000 0.500 0.000
Cu 0.500 0.000 0.000
Ru 0.500 0.500 0.500
Br 0.000 0.000 0.500
CELL_PARAMETERS angstrom
4.843 0.000 0.000
0.000 4.843 0.000
0.000 0.000 4.845


No. 4
! TlCuRuBr6 (PBE-GGA, relaxed); values from VASP
! Density (g/cm³): 4.9
! Space group: P312, No. 149
! Calculated total energy (eV/atom): -3.243
&SYSTEM
  ibrav = 0, nat = 9, ntyp = 4
/
ATOMIC_SPECIES
Tl 204.38 Tl.upf
Cu 63.55 Cu.upf
Ru 101.07 Ru.upf
Br 79.90 Br.upf
ATOMIC_POSITIONS crystal
Tl 0.000 0.000 0.000
Cu 0.333 0.667 0.500
Ru 0.667 0.333 0.500
Br 0.373 0.012 0.695
Br 0.373 0.361 0.305
Br 0.639 0.012 0.305
Br 0.639 0.627 0.695
Br 0.988 0.361 0.695
Br 0.988 0.627 0.305
CELL_PARAMETERS angstrom
6.715 0.000 0.000
-3.357 5.815 0.000
0.000 0.000 7.305


No. 5
! CuS2Br (PBE-GGA, relaxed); values from VASP
! Density (g/cm³): 4.1
! Space group: R-3m, No. 166
! Energy relative to the lowest polymorph listed for this composition (eV per atom): 0.223
! Calculated total energy (eV/atom): -3.417
&SYSTEM
  ibrav = 0, nat = 4, ntyp = 3
/
ATOMIC_SPECIES
Cu 63.55 Cu.upf
S 32.06 S.upf
Br 79.90 Br.upf
ATOMIC_POSITIONS crystal
Cu 0.000 0.000 0.000
S 0.387 0.387 0.387
S 0.613 0.613 0.613
Br 0.500 0.500 0.500
CELL_PARAMETERS angstrom
1.822 1.052 7.240
-1.822 1.052 7.240
0.000 -2.104 7.240


No. 6
! CuS2Br (PBE-GGA, relaxed); values from VASP
! Density (g/cm³): 4.9
! Space group: Fm-3m, No. 225
! Energy relative to the lowest polymorph listed for this composition (eV per atom): 1.110
! Calculated total energy (eV/atom): -2.530
&SYSTEM
  ibrav = 0, nat = 4, ntyp = 3
/
ATOMIC_SPECIES
Cu 63.55 Cu.upf
S 32.06 S.upf
Br 79.90 Br.upf
ATOMIC_POSITIONS crystal
Cu 0.000 0.000 0.000
S 0.250 0.250 0.250
S 0.750 0.750 0.750
Br 0.500 0.500 0.500
CELL_PARAMETERS angstrom
0.000 3.276 3.276
3.276 0.000 3.276
3.276 3.276 0.000


No. 7
! Cu2SBr2 (PBE-GGA, relaxed); values from VASP
! Density (g/cm³): 4.3
! Space group: C2/m, No. 12
! Calculated total energy (eV/atom): -3.369
&SYSTEM
  ibrav = 0, nat = 10, ntyp = 3
/
ATOMIC_SPECIES
Cu 63.55 Cu.upf
S 32.06 S.upf
Br 79.90 Br.upf
ATOMIC_POSITIONS crystal
Cu 0.029 0.029 0.290
Cu 0.253 0.253 0.231
Cu 0.747 0.747 0.769
Cu 0.971 0.971 0.710
S 0.065 0.065 0.124
S 0.935 0.935 0.876
Br 0.180 0.180 0.816
Br 0.379 0.379 0.539
Br 0.621 0.621 0.461
Br 0.820 0.820 0.184
CELL_PARAMETERS angstrom
7.416 -2.014 0.000
7.416 2.014 0.000
-7.267 0.000 8.156


No. 8
! Cu5S3Br12 (PBE-GGA, relaxed); values from VASP
! Density (g/cm³): 4.1
! Space group: Ia-3d, No. 230
! Calculated total energy (eV/atom): -2.493
&SYSTEM
  ibrav = 0, nat = 80, ntyp = 3
/
ATOMIC_SPECIES
Cu 63.55 Cu.upf
S 32.06 S.upf
Br 79.90 Br.upf
ATOMIC_POSITIONS crystal
Cu 0.000 0.000 0.000
Cu 0.000 0.000 0.500
Cu 0.000 0.500 0.000
Cu 0.000 0.500 0.500
Cu 0.125 0.750 0.875
Cu 0.125 0.875 0.250
Cu 0.250 0.125 0.875
Cu 0.250 0.625 0.375
Cu 0.375 0.250 0.625
Cu 0.375 0.625 0.750
Cu 0.500 0.000 0.000
Cu 0.500 0.000 0.500
Cu 0.500 0.500 0.000
Cu 0.500 0.500 0.500
Cu 0.625 0.375 0.250
Cu 0.625 0.750 0.375
Cu 0.750 0.375 0.625
Cu 0.750 0.875 0.125
Cu 0.875 0.125 0.750
Cu 0.875 0.250 0.125
S 0.125 0.250 0.375
S 0.125 0.375 0.750
S 0.250 0.375 0.125
S 0.250 0.875 0.625
S 0.375 0.125 0.250
S 0.375 0.750 0.125
S 0.625 0.250 0.875
S 0.625 0.875 0.750
S 0.750 0.125 0.375
S 0.750 0.625 0.875
S 0.875 0.625 0.250
S 0.875 0.750 0.625
Br 0.012 0.181 0.139
Br 0.012 0.330 0.873
Br 0.043 0.681 0.670
Br 0.043 0.861 0.373
Br 0.127 0.639 0.457
Br 0.127 0.988 0.670
Br 0.139 0.012 0.181
Br 0.139 0.627 0.957
Br 0.170 0.181 0.543
Br 0.170 0.488 0.627
Br 0.181 0.139 0.012
Br 0.181 0.543 0.170
Br 0.319 0.330 0.957
Br 0.319 0.488 0.361
Br 0.330 0.873 0.012
Br 0.330 0.957 0.319
Br 0.361 0.319 0.488
Br 0.361 0.543 0.873
Br 0.373 0.043 0.861
Br 0.373 0.830 0.512
Br 0.457 0.127 0.639
Br 0.457 0.830 0.819
Br 0.488 0.361 0.319
Br 0.488 0.627 0.170
Br 0.512 0.373 0.830
Br 0.512 0.639 0.681
Br 0.543 0.170 0.181
Br 0.543 0.873 0.361
Br 0.627 0.170 0.488
Br 0.627 0.957 0.139
Br 0.639 0.457 0.127
Br 0.639 0.681 0.512
Br 0.670 0.043 0.681
Br 0.670 0.127 0.988
Br 0.681 0.512 0.639
Br 0.681 0.670 0.043
Br 0.819 0.457 0.830
Br 0.819 0.861 0.988
Br 0.830 0.512 0.373
Br 0.830 0.819 0.457
Br 0.861 0.373 0.043
Br 0.861 0.988 0.819
Br 0.873 0.012 0.330
Br 0.873 0.361 0.543
Br 0.957 0.139 0.627
Br 0.957 0.319 0.330
Br 0.988 0.670 0.127
Br 0.988 0.819 0.861
CELL_PARAMETERS angstrom
-8.194 8.194 8.194
8.194 -8.194 8.194
8.194 8.194 -8.194


No. 9
! CuS2Br (PBE-GGA, relaxed); values from VASP
! Density (g/cm³): 3.1
! Space group: C222_1, No. 20
! Energy relative to the lowest polymorph listed for this composition (eV per atom): 0.000
! Calculated total energy (eV/atom): -3.640
&SYSTEM
  ibrav = 0, nat = 8, ntyp = 3
/
ATOMIC_SPECIES
Cu 63.55 Cu.upf
S 32.06 S.upf
Br 79.90 Br.upf
ATOMIC_POSITIONS crystal
Cu 0.205 0.205 0.000
Cu 0.795 0.795 0.500
S 0.294 0.475 0.295
S 0.475 0.294 0.705
S 0.525 0.706 0.205
S 0.706 0.525 0.795
Br 0.117 0.883 0.750
Br 0.883 0.117 0.250
CELL_PARAMETERS angstrom
4.108 -6.180 0.000
4.108 6.180 0.000
0.000 0.000 4.413


No. 10
! CuS3Br3 (PBE-GGA, relaxed); values from VASP
! Density (g/cm³): 2.7
! Space group: R-3, No. 148
! Calculated total energy (eV/atom): -2.977
&SYSTEM
  ibrav = 0, nat = 14, ntyp = 3
/
ATOMIC_SPECIES
Cu 63.55 Cu.upf
S 32.06 S.upf
Br 79.90 Br.upf
ATOMIC_POSITIONS crystal
Cu 0.239 0.239 0.239
Cu 0.761 0.761 0.761
S 0.011 0.771 0.034
S 0.034 0.011 0.771
S 0.229 0.966 0.989
S 0.771 0.034 0.011
S 0.966 0.989 0.229
S 0.989 0.229 0.966
Br 0.067 0.696 0.530
Br 0.304 0.470 0.933
Br 0.470 0.933 0.304
Br 0.530 0.067 0.696
Br 0.696 0.530 0.067
Br 0.933 0.304 0.470
CELL_PARAMETERS angstrom
4.222 2.437 7.837
-4.222 2.437 7.837
0.000 -4.875 7.837


No. 11
! CuS5Br (PBE-GGA, relaxed); values from VASP
! Density (g/cm³): 2.4
! Space group: C2, No. 5
! Calculated total energy (eV/atom): -3.750
&SYSTEM
  ibrav = 0, nat = 7, ntyp = 3
/
ATOMIC_SPECIES
Cu 63.55 Cu.upf
S 32.06 S.upf
Br 79.90 Br.upf
ATOMIC_POSITIONS crystal
Cu 0.000 0.000 0.000
S 0.305 0.445 0.244
S 0.542 0.131 0.247
S 0.555 0.695 0.756
S 0.765 0.235 0.000
S 0.869 0.458 0.753
Br 0.056 0.944 0.500
CELL_PARAMETERS angstrom
2.523 -11.081 0.000
2.523 11.081 0.000
-1.829 0.000 3.782


No. 12
! Cu5S2Br2 (PBE-GGA, relaxed); values from VASP
! Density (g/cm³): 4.2
! Space group: P-1, No. 2
! Calculated total energy (eV/atom): -3.749
&SYSTEM
  ibrav = 0, nat = 9, ntyp = 3
/
ATOMIC_SPECIES
Cu 63.55 Cu.upf
S 32.06 S.upf
Br 79.90 Br.upf
ATOMIC_POSITIONS crystal
Cu 0.000 0.000 0.000
Cu 0.143 0.327 0.288
Cu 0.380 0.886 0.757
Cu 0.620 0.114 0.243
Cu 0.857 0.673 0.712
S 0.139 0.000 0.281
S 0.861 0.000 0.719
Br 0.361 0.481 0.722
Br 0.639 0.519 0.278
CELL_PARAMETERS angstrom
3.965 0.000 0.000
-0.012 7.177 0.000
-1.975 -1.902 7.487


No. 13
! CuSBr2 (PBE-GGA, relaxed); values from VASP
! Density (g/cm³): 3.5
! Space group: I-42d, No. 122
! Energy relative to the lowest polymorph listed for this composition (eV per atom): 0.000
! Calculated total energy (eV/atom): -2.481
&SYSTEM
  ibrav = 0, nat = 8, ntyp = 3
/
ATOMIC_SPECIES
Cu 63.55 Cu.upf
S 32.06 S.upf
Br 79.90 Br.upf
ATOMIC_POSITIONS crystal
Cu 0.000 0.000 0.000
Cu 0.750 0.250 0.500
S 0.250 0.750 0.500
S 0.500 0.500 0.000
Br 0.049 0.625 0.924
Br 0.375 0.299 0.424
Br 0.701 0.125 0.076
Br 0.875 0.951 0.576
CELL_PARAMETERS angstrom
-3.292 3.292 5.542
3.292 -3.292 5.542
3.292 3.292 -5.542


No. 14
! Cu4SBr3 (PBE-GGA, relaxed); values from VASP
! Density (g/cm³): 4.9
! Space group: Pmn2_1, No. 31
! Calculated total energy (eV/atom): -3.442
&SYSTEM
  ibrav = 0, nat = 16, ntyp = 3
/
ATOMIC_SPECIES
Cu 63.55 Cu.upf
S 32.06 S.upf
Br 79.90 Br.upf
ATOMIC_POSITIONS crystal
Cu 0.000 0.133 0.000
Cu 0.000 0.840 0.552
Cu 0.225 0.682 0.007
Cu 0.275 0.318 0.507
Cu 0.500 0.160 0.052
Cu 0.500 0.867 0.500
Cu 0.725 0.318 0.507
Cu 0.775 0.682 0.007
S 0.000 0.832 0.886
S 0.500 0.168 0.386
Br 0.000 0.167 0.384
Br 0.249 0.665 0.387
Br 0.251 0.335 0.887
Br 0.500 0.833 0.884
Br 0.749 0.335 0.887
Br 0.751 0.665 0.387
CELL_PARAMETERS angstrom
7.862 0.000 0.000
0.000 6.853 0.000
0.000 0.000 6.561


No. 15
! CuS2Br (PBE-GGA, relaxed); values from VASP
! Density (g/cm³): 3.8
! Space group: I-42d, No. 122
! Energy relative to the lowest polymorph listed for this composition (eV per atom): 0.526
! Calculated total energy (eV/atom): -3.115
&SYSTEM
  ibrav = 0, nat = 8, ntyp = 3
/
ATOMIC_SPECIES
Cu 63.55 Cu.upf
S 32.06 S.upf
Br 79.90 Br.upf
ATOMIC_POSITIONS crystal
Cu 0.000 0.000 0.000
Cu 0.750 0.250 0.500
S 0.046 0.625 0.921
S 0.375 0.296 0.421
S 0.704 0.125 0.079
S 0.875 0.954 0.579
Br 0.250 0.750 0.500
Br 0.500 0.500 0.000
CELL_PARAMETERS angstrom
-3.124 3.124 4.599
3.124 -3.124 4.599
3.124 3.124 -4.599


No. 16
! Cu3SBr2 (PBE-GGA, relaxed); values from VASP
! Density (g/cm³): 4.9
! Space group: Imm2, No. 44
! Calculated total energy (eV/atom): -3.551
&SYSTEM
  ibrav = 0, nat = 6, ntyp = 3
/
ATOMIC_SPECIES
Cu 63.55 Cu.upf
S 32.06 S.upf
Br 79.90 Br.upf
ATOMIC_POSITIONS crystal
Cu 0.000 0.000 0.000
Cu 0.431 0.081 0.350
Cu 0.730 0.081 0.650
S 0.807 0.307 0.500
Br 0.132 0.298 0.834
Br 0.464 0.298 0.166
CELL_PARAMETERS angstrom
-1.939 5.968 2.796
1.939 -5.968 2.796
1.939 5.968 -2.796


No. 17
! CuS2Br2 (PBE-GGA, relaxed); values from VASP
! Density (g/cm³): 2.7
! Space group: Immm, No. 71
! Calculated total energy (eV/atom): -2.930
&SYSTEM
  ibrav = 0, nat = 5, ntyp = 3
/
ATOMIC_SPECIES
Cu 63.55 Cu.upf
S 32.06 S.upf
Br 79.90 Br.upf
ATOMIC_POSITIONS crystal
Cu 0.000 0.000 0.000
S 0.500 0.251 0.751
S 0.500 0.749 0.249
Br 0.143 0.643 0.500
Br 0.857 0.357 0.500
CELL_PARAMETERS angstrom
-2.008 3.952 5.532
2.008 -3.952 5.532
2.008 3.952 -5.532


No. 18
! Cu3SBr (PBE-GGA, relaxed); values from VASP
! Density (g/cm³): 5.2
! Space group: P2_1/m, No. 11
! Calculated total energy (eV/atom): -3.720
&SYSTEM
  ibrav = 0, nat = 10, ntyp = 3
/
ATOMIC_SPECIES
Cu 63.55 Cu.upf
S 32.06 S.upf
Br 79.90 Br.upf
ATOMIC_POSITIONS crystal
Cu 0.113 0.250 0.225
Cu 0.259 0.750 0.719
Cu 0.380 0.250 0.011
Cu 0.620 0.750 0.989
Cu 0.741 0.250 0.281
Cu 0.887 0.750 0.775
S 0.214 0.750 0.981
S 0.786 0.250 0.019
Br 0.254 0.750 0.422
Br 0.746 0.250 0.578
CELL_PARAMETERS angstrom
6.596 0.000 0.000
0.000 3.974 0.000
-2.326 0.000 7.439


No. 19
! Cu4S5Br (PBE-GGA, relaxed); values from VASP
! Density (g/cm³): 4.6
! Space group: Pmmn, No. 59
! Calculated total energy (eV/atom): -3.988
&SYSTEM
  ibrav = 0, nat = 20, ntyp = 3
/
ATOMIC_SPECIES
Cu 63.55 Cu.upf
S 32.06 S.upf
Br 79.90 Br.upf
ATOMIC_POSITIONS crystal
Cu 0.004 0.250 0.002
Cu 0.250 0.040 0.504
Cu 0.250 0.460 0.504
Cu 0.496 0.250 0.002
Cu 0.504 0.750 0.998
Cu 0.750 0.540 0.496
Cu 0.750 0.960 0.496
Cu 0.996 0.750 0.998
S 0.007 0.554 0.814
S 0.007 0.946 0.814
S 0.250 0.250 0.702
S 0.493 0.554 0.814
S 0.493 0.946 0.814
S 0.507 0.054 0.186
S 0.507 0.446 0.186
S 0.750 0.750 0.298
S 0.993 0.054 0.186
S 0.993 0.446 0.186
Br 0.250 0.750 0.362
Br 0.750 0.250 0.638
CELL_PARAMETERS angstrom
7.228 0.000 0.000
0.000 10.668 0.000
0.000 0.000 4.633


No. 20
! Cu2S2Br (PBE-GGA, relaxed); values from VASP
! Density (g/cm³): 3.9
! Space group: P4/mbm, No. 127
! Energy relative to the lowest polymorph listed for this composition (eV per atom): 0.166
! Calculated total energy (eV/atom): -3.360
&SYSTEM
  ibrav = 0, nat = 10, ntyp = 3
/
ATOMIC_SPECIES
Cu 63.55 Cu.upf
S 32.06 S.upf
Br 79.90 Br.upf
ATOMIC_POSITIONS crystal
Cu 0.120 0.380 0.000
Cu 0.380 0.880 0.000
Cu 0.620 0.120 0.000
Cu 0.880 0.620 0.000
S 0.189 0.311 0.500
S 0.311 0.811 0.500
S 0.689 0.189 0.500
S 0.811 0.689 0.500
Br 0.000 0.000 0.500
Br 0.500 0.500 0.500
CELL_PARAMETERS angstrom
7.527 0.000 0.000
0.000 7.527 0.000
0.000 0.000 4.037